# 1
## CaAcCu2 (PBE)

Data for a geometry-optimized CaAcCu2 structure.

Raw total energy, eV/cell: -14.58
SG: P4/mmm, No. 123
Distance to the lowest polymorph of the same formula, eV/atom: 0.071

```
CaAcCu2
1.0
-0.827 -2.608 -2.458
4.506 -2.425 1.058
-2.371 -2.773 3.741
Ac Ca Cu
1 1 2
Cartesian
0.654 -3.903 1.171
-0.413 -1.304 -1.229
-1.185 -1.387 1.870
2.253 -1.213 0.529
```



# 2
## CaAc2Cu2 (PBE)

Data for a geometry-optimized CaAc2Cu2 structure.

Raw total energy, eV/cell: -37.31
SG: P2_1/m, No. 11
Distance to the lowest polymorph of the same formula, eV/atom: 0.069

```
CaAc2Cu2
1.0
-2.464 1.047 -3.525
-4.600 -3.248 2.250
-0.228 12.079 3.747
Ca Ac Cu
2 4 4
Cartesian
-4.406 0.152 1.735
-2.886 9.727 0.737
-4.357 8.360 4.139
-2.935 1.519 -1.667
-2.090 5.925 1.831
-5.201 3.954 0.640
-4.746 5.181 3.466
-2.546 4.698 -0.994
-2.567 10.900 3.642
-4.725 -1.021 -1.170
```



# 3
## Ca3Ac2Cu2 (PBE)

Data for a geometry-optimized Ca3Ac2Cu2 structure.

Raw total energy, eV/cell: -22.81
SG: C2/m, No. 12

```
Ca3Ac2Cu2
1.0
4.080 0.003 0.014
2.030 6.557 0.721
-0.032 0.634 8.981
Ca Ac Cu
3 2 2
Cartesian
2.032 2.618 1.848
2.030 6.557 0.721
4.045 4.575 7.868
4.060 5.277 4.053
2.018 1.917 5.663
2.008 6.109 6.294
4.070 1.084 3.421
```



Question: Number 3 is which compound?
Answer: Ca3Ac2Cu2



Question: Which of these has the highest raw total energy?
Answer: CaAcCu2